No. 1
The following is a PBE calculation of a relaxed structure of Na5ZnAs2, from Alexandria via LeMat-Bulk.

extended XYZ file:
```
8
Lattice="5.119 0.000 0.000 2.560 4.433 0.000 2.560 1.478 8.539" Properties=species:S:1:pos:R:3 pbc="T T T"
Na 5.119 2.956 4.269
Na 5.119 2.956 7.443
Na 5.119 2.956 1.096
Na 2.560 1.478 2.841
Na 7.679 4.433 5.697
Zn 0.000 0.000 0.000
As 2.560 1.478 6.123
As 7.679 4.433 2.416
```

Summary:
* M_tot: 0.00 μB per formula unit
* total energy: -2.47 eV/atom
* energy relative to the elements: -327 meV/atom

---

No. 2
The following is a PBE calculation of a relaxed structure of DyTmPa4, from Alexandria via LeMat-Bulk.

extended XYZ file:
```
6
Lattice="-2.401 -4.859 2.882 1.663 -1.277 5.770 -3.987 0.819 4.596" Properties=species:S:1:pos:R:3 pbc="T T T"
Pa -0.959 -3.733 5.982
Pa -3.786 -2.685 5.394
Pa -2.954 -3.324 8.281
Pa -1.753 -0.892 6.839
Tm 0.000 0.000 0.000
Dy -1.181 -1.329 3.312
```

Summary:
* M_tot: 0.00 μB per formula unit
* total energy: -7.61 eV/atom
* energy relative to the elements: 231 meV/atom

---

Which of these has the lowest total energy? DyTmPa4

---

The highest total energy belongs to which entry? Na5ZnAs2

---

What is the energy relative to the elements in the first record? -327 meV/atom